<one>
Here is KTl4Pb after structural relaxation from the Alexandria database. Energies are from PBE-GGA.

Results
- magnetization (μB per formula unit) = 0.00
- calculated volume (Å³/atom) = 34.68

Geometry as POSCAR:
```
KTl4Pb
1.0
-0.8592 0.2988 -4.8146
-2.4570 -8.4863 -0.0882
-9.0792 2.6101 1.7823
K Tl Pb
2 8 2
Cartesian
-8.3889 -3.4978 1.2800 K
-3.1473 -2.3784 0.4141 K
-4.5396 1.3051 0.8912 Tl
0.0000 0.0000 0.0000 Tl
-9.5864 -6.0006 -1.1548 Tl
-2.8091 0.4232 -1.9657 Tl
-2.4667 -5.5977 -2.4004 Tl
-9.9287 0.0203 -0.7201 Tl
-6.3173 -4.4908 -1.6445 Tl
-6.0781 -1.0866 -1.4759 Tl
-7.4053 -0.1005 1.3153 Pb
-4.1309 -5.7757 0.3788 Pb
```


<two>
Here is KTl4Pb after structural relaxation from the Alexandria database. Energies are from PBE-GGA.

Results
- magnetization (μB per formula unit) = 0.00
- calculated volume (Å³/atom) = 33.26

Geometry as POSCAR:
```
KTl4Pb
1.0
-2.7976 1.7313 -5.6747
-1.8869 -4.6103 -4.2674
-6.3838 -1.1365 -0.9906
K Pb Tl
1 1 4
Cartesian
-2.7671 -1.0039 -2.7332 K
0.0000 0.0000 0.0000 Pb
-5.5188 -3.3845 -3.9857 Tl
-6.9270 -2.5131 -6.8421 Tl
-5.9772 -0.1924 -4.6941 Tl
-3.7137 -1.9410 -6.3435 Tl
```


Bottom line: <one>, by a margin of 2.1 kJ/mol of atoms.


<one>
Here is K2TlPb after structural relaxation from the Alexandria database. Energies are from PBE-GGA.

Results
- magnetization (μB per formula unit) = 0.00
- calculated volume (Å³/atom) = 37.11

Geometry as POSCAR:
```
K2TlPb
1.0
-6.0034 5.1707 -0.8831
-1.3666 -5.7898 2.6994
-1.4452 1.8151 3.0993
K Pb Tl
2 1 1
Cartesian
0.0000 0.0000 0.0000 K
-3.7243 3.4929 1.1081 K
-1.4059 -1.9873 2.8993 Pb
-3.6850 -0.3095 0.9081 Tl
```


<two>
Here is K2TlPb after structural relaxation from the Alexandria database. Energies are from PBE-GGA.

Results
- magnetization (μB per formula unit) = 0.00
- calculated volume (Å³/atom) = 40.80

Geometry as POSCAR:
```
K2TlPb
1.0
-3.1282 -8.9511 2.9481
4.9150 1.1008 8.5575
-1.7873 -2.5399 7.1143
Pb Tl K
2 2 4
Cartesian
0.0000 0.0000 0.0000 Pb
-2.0111 -7.7081 7.9076 Pb
0.8934 -3.9252 5.7528 Tl
2.0106 -2.6821 10.7123 Tl
-1.7823 -6.0767 4.6859 K
2.2288 -1.0810 7.5005 K
-0.6621 -4.8469 9.6647 K
0.2147 -8.7758 15.3887 K
```


Bottom line: <one>, by a margin of 8.6 kJ/mol of atoms.